Record 1
This record from OQMD describes a relaxed AcHoNi crystal. The functional is PBE.

## Properties
Symmetry ... F-43m (216)
Density ... 8.693 Mg/m³
Formation energy ... -30.0 meV per atom

abc: 4.956 4.956 4.956
angles: 60.00 60.00 60.00
Fractional positions:
Ho 0.750 0.750 0.750
Ni 0.000 0.000 0.000
Ac 0.250 0.250 0.250



Record 2
This record from OQMD describes a relaxed LuMgInNi crystal. The functional is PBE.

## Properties
Symmetry ... F-43m (216)
Energy above the most stable polymorph in this dataset ... 49.5 kJ/mol of formula units
Density ... 8.060 Mg/m³

abc: 4.771 4.771 4.771
angles: 60.00 60.00 60.00
Fractional positions:
Ni 0.500 0.500 0.500
In 0.250 0.250 0.250
Lu 0.000 0.000 0.000
Mg 0.750 0.750 0.750



Record 3
This record from OQMD describes a relaxed YSiNi2P crystal. The functional is PBE.

## Properties
Symmetry ... I4mm (107)
E_tot ... -6.661 eV/atom
Density ... 6.107 Mg/m³

abc: 5.489 5.489 5.489
angles: 138.40 138.40 60.29
Fractional positions:
Y 0.001 0.001 0.000
Ni 0.749 0.249 0.500
P 0.624 0.624 0.000
Si 0.377 0.377 0.000
Ni 0.249 0.749 0.500



Record 4
This record from OQMD describes a relaxed UCuPt crystal. The functional is PBE.

## Properties
Symmetry ... F-43m (216)
Energy above the most stable polymorph in this dataset ... 74.9 kJ/mol of formula units
Density ... 12.506 Mg/m³
Formation energy ... 271.2 meV per atom

abc: 4.535 4.535 4.535
angles: 60.00 60.00 60.00
Fractional positions:
U 0.250 0.250 0.250
Pt 0.500 0.500 0.500
Cu 0.000 0.000 0.000